Entry 1:
Below is a relaxed Sm2CdAs3Rh4 crystal, with properties calculated at the PBE level. Values from VASP.

Geometry as Quantum ESPRESSO input:
```
&SYSTEM
  ibrav = 0, nat = 10, ntyp = 4
/
ATOMIC_SPECIES
Sm 150.36 Sm.upf
Cd 112.41 Cd.upf
As 74.92 As.upf
Rh 102.91 Rh.upf
CELL_PARAMETERS angstrom
-0.628 3.613 -1.850
-2.778 -1.748 -2.470
-8.030 2.371 7.354
ATOMIC_POSITIONS crystal
Sm 0.500 0.000 0.244
Sm 0.000 0.500 0.756
Cd 0.500 0.500 0.500
As 0.000 0.000 0.500
As 0.500 0.000 0.871
As 0.000 0.500 0.129
Rh 0.500 0.500 0.000
Rh 0.000 0.000 0.000
Rh 0.500 0.000 0.659
Rh 0.000 0.500 0.341
```

Its space group is No. 115. As for the calculated total energy: -6.169 eV/atom. The density of states at the Fermi level comes out at 3.98 states/eV/cell. For the energy of formation from the pure elements, the calculation gives -0.798 eV per atom.

Entry 2:
Below is a relaxed Sm4MgBi2 crystal, with properties calculated at the PBE level. Values from VASP.

Geometry as Quantum ESPRESSO input:
```
&SYSTEM
  ibrav = 0, nat = 14, ntyp = 3
/
ATOMIC_SPECIES
Sm 150.36 Sm.upf
Mg 24.30 Mg.upf
Bi 208.98 Bi.upf
CELL_PARAMETERS angstrom
6.246 0.000 -0.027
0.000 6.816 0.000
-2.462 0.000 10.329
ATOMIC_POSITIONS crystal
Sm 0.535 0.513 0.260
Sm 0.049 0.750 0.841
Sm 0.951 0.250 0.159
Sm 0.535 0.987 0.260
Sm 0.854 0.250 0.535
Sm 0.465 0.013 0.740
Sm 0.465 0.487 0.740
Sm 0.146 0.750 0.465
Mg 0.051 0.750 0.170
Mg 0.949 0.250 0.830
Bi 0.622 0.750 0.000
Bi 0.378 0.250 0.000
Bi 0.301 0.250 0.451
Bi 0.699 0.750 0.549
```

Its space group is No. 11. As for the calculated total energy: -4.403 eV/atom. The density of states at the Fermi level comes out at 17.07 states/eV/cell. For the energy of formation from the pure elements, the calculation gives -0.370 eV per atom.